# Cu3GeP2O10

Cu3GeP2O10 at its PBEsol-relaxed geometry (meta-GGA SCAN, Alexandria).

Lattice parameters (Å, degrees): 4.6530 8.2940 9.5706 90.00 103.81 90.00
Fractional coordinates of all 32 atoms:
1 Cu 0.0000 0.0000 0.0000
2 Cu 0.0000 0.5000 0.0000
3 Cu 0.2789 0.0660 0.3330
4 Cu 0.2789 0.4340 0.3330
5 Cu 0.7211 0.5660 0.6670
6 Cu 0.7211 0.9340 0.6670
7 Ge 0.4901 0.7500 0.1761
8 Ge 0.5099 0.2500 0.8239
9 P 0.0493 0.7500 0.4536
10 P 0.3679 0.7500 0.8668
11 P 0.6321 0.2500 0.1332
12 P 0.9507 0.2500 0.5464
13 O 0.1308 0.2500 0.4290
14 O 0.1717 0.2500 0.6978
15 O 0.1819 0.5967 0.8601
16 O 0.1819 0.9033 0.8601
17 O 0.2384 0.5972 0.4665
18 O 0.2384 0.9028 0.4665
19 O 0.2874 0.5731 0.1726
20 O 0.2874 0.9269 0.1726
21 O 0.3792 0.2500 0.9872
22 O 0.4614 0.2500 0.2535
23 O 0.5386 0.7500 0.7465
24 O 0.6208 0.7500 0.0128
25 O 0.7126 0.0731 0.8274
26 O 0.7126 0.4269 0.8274
27 O 0.7616 0.0972 0.5335
28 O 0.7616 0.4028 0.5335
29 O 0.8181 0.0967 0.1399
30 O 0.8181 0.4033 0.1399
31 O 0.8283 0.7500 0.3022
32 O 0.8692 0.7500 0.5710

The raw formation energy is -1.733 eV/atom. As for the symmetry: P2_1/m (11).

# CuGe5Pb3O14

CuGe5Pb3O14 at its PBEsol-relaxed geometry (meta-GGA SCAN, Alexandria).

Lattice parameters (Å, degrees): 9.8542 9.8542 10.3889 120.79 120.79 48.45
Fractional coordinates of all 46 atoms:
1 Cu 0.0000 0.0000 0.0000
2 Cu 0.0000 0.0000 0.5000
3 Ge 0.1603 0.5151 0.3666
4 Ge 0.1642 0.5909 0.8448
5 Ge 0.2233 0.7767 0.7500
6 Ge 0.4091 0.8358 0.6552
7 Ge 0.4849 0.8397 0.1334
8 Ge 0.5151 0.1603 0.8666
9 Ge 0.5909 0.1642 0.3448
10 Ge 0.7767 0.2233 0.2500
11 Ge 0.8358 0.4091 0.1552
12 Ge 0.8397 0.4849 0.6334
13 Pb 0.1610 0.2193 0.9427
14 Pb 0.2193 0.1610 0.4427
15 Pb 0.3461 0.6539 0.2500
16 Pb 0.6539 0.3461 0.7500
17 Pb 0.7807 0.8390 0.5573
18 Pb 0.8390 0.7807 0.0573
19 O 0.0054 0.4497 0.3234
20 O 0.0098 0.8573 0.7881
21 O 0.0885 0.7584 0.0162
22 O 0.1010 0.7042 0.5322
23 O 0.1209 0.5722 0.2133
24 O 0.1427 0.9902 0.7119
25 O 0.2416 0.9115 0.4838
26 O 0.2958 0.8990 0.9678
27 O 0.3087 0.3815 0.9134
28 O 0.3358 0.5556 0.7966
29 O 0.3815 0.3087 0.4134
30 O 0.4278 0.8791 0.2867
31 O 0.4444 0.6642 0.7034
32 O 0.4497 0.0054 0.8234
33 O 0.5503 0.9946 0.1766
34 O 0.5556 0.3358 0.2966
35 O 0.5722 0.1209 0.7133
36 O 0.6185 0.6913 0.5866
37 O 0.6642 0.4444 0.2034
38 O 0.6913 0.6185 0.0866
39 O 0.7042 0.1010 0.0322
40 O 0.7584 0.0885 0.5162
41 O 0.8573 0.0098 0.2881
42 O 0.8791 0.4278 0.7867
43 O 0.8990 0.2958 0.4678
44 O 0.9115 0.2416 0.9838
45 O 0.9902 0.1427 0.2119
46 O 0.9946 0.5503 0.6766

The raw formation energy is -1.580 eV/atom. As for the symmetry: C2/c (15). The density of states at the Fermi level comes out at 0.0000 states/eV/atom.

# Sm2CuGe2O8

Sm2CuGe2O8 at its PBEsol-relaxed geometry (meta-GGA SCAN, Alexandria).

Lattice parameters (Å, degrees): 8.9796 8.9796 5.1169 106.17 106.17 115.09
Fractional coordinates of all 26 atoms:
1 Sm 0.1199 0.8801 0.0000
2 Sm 0.3780 0.6192 0.5102
3 Sm 0.6192 0.3780 0.5102
4 Sm 0.8801 0.1199 0.0000
5 Cu 0.0867 0.5005 0.8136
6 Cu 0.5005 0.0867 0.8136
7 Ge 0.2584 0.2584 0.8049
8 Ge 0.5305 0.9527 0.2669
9 Ge 0.7543 0.7543 0.2166
10 Ge 0.9527 0.5305 0.2669
11 O 0.0738 0.4191 0.1108
12 O 0.0850 0.0850 0.8410
13 O 0.1536 0.6706 0.6331
14 O 0.1697 0.3582 0.6009
15 O 0.3248 0.7935 0.2570
16 O 0.3582 0.1697 0.6009
17 O 0.4191 0.0738 0.1108
18 O 0.4225 0.4225 0.1900
19 O 0.5812 0.9228 0.9465
20 O 0.5860 0.5860 0.8416
21 O 0.6620 0.8475 0.4356
22 O 0.6706 0.1536 0.6331
23 O 0.7935 0.3248 0.2570
24 O 0.8475 0.6620 0.4356
25 O 0.9228 0.5812 0.9465
26 O 0.9266 0.9266 0.1813

The raw formation energy is -2.517 eV/atom. As for the symmetry: Cm (8). The density of states at the Fermi level comes out at 0.0000 states/eV/atom.

# Sr2CuGe2O7

Sr2CuGe2O7 at its PBEsol-relaxed geometry (meta-GGA SCAN, Alexandria).

Lattice parameters (Å, degrees): 8.2567 8.2567 5.2040 90.00 90.00 90.00
Fractional coordinates of all 24 atoms:
1 Sr 0.1647 0.3353 0.4905
2 Sr 0.3353 0.8353 0.5095
3 Sr 0.6647 0.1647 0.5095
4 Sr 0.8353 0.6647 0.4905
5 Cu 0.0000 0.0000 0.0000
6 Cu 0.5000 0.5000 0.0000
7 Ge 0.1414 0.6414 0.9672
8 Ge 0.3586 0.1414 0.0328
9 Ge 0.6414 0.8586 0.0328
10 Ge 0.8586 0.3586 0.9672
11 O 0.0000 0.5000 0.8250
12 O 0.0863 0.8208 0.8089
13 O 0.1346 0.6346 0.2992
14 O 0.1792 0.0863 0.1911
15 O 0.3208 0.5863 0.8089
16 O 0.3654 0.1346 0.7008
17 O 0.4137 0.3208 0.1911
18 O 0.5000 0.0000 0.1750
19 O 0.5863 0.6792 0.1911
20 O 0.6346 0.8654 0.7008
21 O 0.6792 0.4137 0.8089
22 O 0.8208 0.9137 0.1911
23 O 0.8654 0.3654 0.2992
24 O 0.9137 0.1792 0.8089

The raw formation energy is -2.192 eV/atom. As for the symmetry: P-42_1m (113).

# Tb2CuGe4O12

Tb2CuGe4O12 at its PBEsol-relaxed geometry (meta-GGA SCAN, Alexandria).

Lattice parameters (Å, degrees): 4.9182 7.1952 7.8890 66.67 87.39 77.55
Fractional coordinates of all 19 atoms:
1 Tb 0.0504 0.2678 0.4545
2 Tb 0.9496 0.7322 0.5455
3 Cu 0.0000 0.5000 0.0000
4 Ge 0.4196 0.8805 0.7960
5 Ge 0.4628 0.6653 0.2233
6 Ge 0.5372 0.3347 0.7767
7 Ge 0.5804 0.1195 0.2040
8 O 0.2205 0.9213 0.6033
9 O 0.2294 0.5642 0.3901
10 O 0.2481 0.5116 0.7982
11 O 0.2495 0.2730 0.1906
12 O 0.2629 0.8052 0.0113
13 O 0.4072 0.1565 0.7132
14 O 0.5928 0.8435 0.2868
15 O 0.7371 0.1948 0.9887
16 O 0.7505 0.7270 0.8094
17 O 0.7519 0.4884 0.2018
18 O 0.7706 0.4358 0.6099
19 O 0.7795 0.0787 0.3967

The raw formation energy is -2.286 eV/atom. As for the symmetry: P-1 (2). The density of states at the Fermi level comes out at 0.0000 states/eV/atom.

# Tm2CuGe4O12

Tm2CuGe4O12 at its PBEsol-relaxed geometry (meta-GGA SCAN, Alexandria).

Lattice parameters (Å, degrees): 4.9201 7.0761 7.7612 66.98 87.77 77.92
Fractional coordinates of all 19 atoms:
1 Tm 0.0490 0.2678 0.4542
2 Tm 0.9510 0.7322 0.5458
3 Cu 0.0000 0.5000 0.0000
4 Ge 0.4185 0.8790 0.7921
5 Ge 0.4638 0.6612 0.2269
6 Ge 0.5362 0.3388 0.7731
7 Ge 0.5815 0.1210 0.2079
8 O 0.2196 0.9237 0.5949
9 O 0.2251 0.5639 0.3933
10 O 0.2486 0.2720 0.1949
11 O 0.2495 0.5188 0.7958
12 O 0.2651 0.8029 0.0113
13 O 0.3971 0.1601 0.7101
14 O 0.6029 0.8399 0.2899
15 O 0.7349 0.1971 0.9887
16 O 0.7505 0.4812 0.2042
17 O 0.7514 0.7280 0.8051
18 O 0.7749 0.4361 0.6067
19 O 0.7804 0.0763 0.4051

The raw formation energy is -2.310 eV/atom. As for the symmetry: P-1 (2). The density of states at the Fermi level comes out at 0.0000 states/eV/atom.